(1)
Below is an optimized crystal structure of SmCl, with properties calculated at the GGA-PBE level.

```
2
Lattice="-3.4226 1.6815 2.3630 -3.9455 0.7582 -1.9958 -3.5379 -2.5817 0.9713" Properties=species:S:1:pos:R:3 pbc="T T T"
Cl 0.0000 0.0000 0.0000
Sm -2.7265 -0.0355 0.3346
```

## Properties
raw total energy	-4.227	eV/atom
magnetization	0.0	μB per formula unit

---

(2)
Below is an optimized crystal structure of NdEr2In3AgPt2, with properties calculated at the GGA-PBE level.

```
9
Lattice="-2.5236 0.5383 2.7792 2.1112 -6.8377 3.2415 3.6559 6.6504 2.0314" Properties=species:S:1:pos:R:3 pbc="T T T"
Ag 0.0123 -0.0004 0.0113
Er 3.6107 -4.1064 4.0740
Er 4.5210 3.8422 3.3609
In 0.2970 -4.7212 3.7716
In 0.2699 0.2194 2.7900
In 1.4242 5.1217 2.8886
Nd 3.4029 -0.1106 3.1113
Pt 1.3463 -2.1333 4.2231
Pt 1.8752 2.4850 3.8088
```

## Properties
raw total energy	-4.921	eV/atom
magnetization	0.0	μB per formula unit

---

(3)
Below is an optimized crystal structure of LuCoC, with properties calculated at the GGA-PBE level.

```
6
Lattice="3.5862 0.0000 0.0000 0.0000 3.5862 0.0000 0.0000 0.0000 6.5904" Properties=species:S:1:pos:R:3 pbc="T T T"
C 0.0000 1.7931 0.0000
C 1.7931 0.0000 3.2952
Co 1.7931 1.7931 0.0000
Co 1.7931 1.7931 3.2952
Lu 0.0000 0.0000 1.6476
Lu 0.0000 0.0000 4.9428
```

## Properties
raw total energy	-7.313	eV/atom
magnetization	0.1	μB per formula unit

---

Which formula does entry 1 have?
SmCl

---

What did the second record say?
Below is an optimized crystal structure of NdEr2In3AgPt2, with properties calculated at the GGA-PBE level.

```
9
Lattice="-2.5236 0.5383 2.7792 2.1112 -6.8377 3.2415 3.6559 6.6504 2.0314" Properties=species:S:1:pos:R:3 pbc="T T T"
Ag 0.0123 -0.0004 0.0113
Er 3.6107 -4.1064 4.0740
Er 4.5210 3.8422 3.3609
In 0.2970 -4.7212 3.7716
In 0.2699 0.2194 2.7900
In 1.4242 5.1217 2.8886
Nd 3.4029 -0.1106 3.1113
Pt 1.3463 -2.1333 4.2231
Pt 1.8752 2.4850 3.8088
```

## Properties
raw total energy	-4.921	eV/atom
magnetization	0.0	μB per formula unit

---

Among the records above, which one has the highest magnetization?
LuCoC

---

Look up the raw total energy of the third one.
-7.313 eV/atom